Entry 1:
! KOs2Pt PBE-GGA optimized geometry; values from VASP
&SYSTEM
  ibrav = 0, nat = 4, ntyp = 3
/
ATOMIC_SPECIES
K 39.10 K.upf
Os 190.23 Os.upf
Pt 195.08 Pt.upf
CELL_PARAMETERS angstrom
-1.967 1.967 4.428
1.967 -1.967 4.428
1.967 1.967 -4.428
ATOMIC_POSITIONS angstrom
K 0.000 0.000 0.000
Os 1.967 0.000 2.214
Os 0.000 1.967 2.214
Pt 0.000 0.000 4.428
! E_form ... 146 kJ/mol of atoms
! E above lowest polymorph ... 987 meV per atom



Entry 2:
! K2OsPt PBE-GGA optimized geometry; values from VASP
&SYSTEM
  ibrav = 0, nat = 4, ntyp = 3
/
ATOMIC_SPECIES
K 39.10 K.upf
Os 190.23 Os.upf
Pt 195.08 Pt.upf
CELL_PARAMETERS angstrom
3.978 0.000 0.000
0.000 3.978 0.000
0.000 0.000 5.435
ATOMIC_POSITIONS angstrom
K 0.000 1.989 0.000
K 1.989 0.000 0.000
Os 0.000 0.000 2.717
Pt 1.989 1.989 2.717
! E_form ... 96 kJ/mol of atoms
! E above lowest polymorph ... 516 meV per atom



Entry 3:
! K2OsPt PBE-GGA optimized geometry; values from VASP
&SYSTEM
  ibrav = 0, nat = 4, ntyp = 3
/
ATOMIC_SPECIES
K 39.10 K.upf
Os 190.23 Os.upf
Pt 195.08 Pt.upf
CELL_PARAMETERS angstrom
2.826 0.000 0.000
0.000 4.162 0.000
0.000 0.000 10.035
ATOMIC_POSITIONS angstrom
K 0.000 0.000 0.000
K 1.413 2.081 4.347
Os 0.000 0.000 6.861
Pt 1.413 2.081 7.576
! E_form ... 46 kJ/mol of atoms
! E above lowest polymorph ... 0 meV per atom



Entry 4:
! KOsPt4 PBE-GGA optimized geometry; values from VASP
&SYSTEM
  ibrav = 0, nat = 6, ntyp = 3
/
ATOMIC_SPECIES
K 39.10 K.upf
Os 190.23 Os.upf
Pt 195.08 Pt.upf
CELL_PARAMETERS angstrom
0.000 3.792 3.792
3.792 0.000 3.792
3.792 3.792 0.000
ATOMIC_POSITIONS angstrom
K 0.000 0.000 0.000
Os 5.688 5.688 5.688
Pt 2.846 2.846 2.846
Pt 4.738 4.738 2.846
Pt 4.738 2.846 4.738
Pt 2.846 4.738 4.738
! E_form ... 56 kJ/mol of atoms



Entry 5:
! KOs2Pt PBE-GGA optimized geometry; values from VASP
&SYSTEM
  ibrav = 0, nat = 4, ntyp = 3
/
ATOMIC_SPECIES
K 39.10 K.upf
Os 190.23 Os.upf
Pt 195.08 Pt.upf
CELL_PARAMETERS angstrom
-1.346 2.636 5.289
1.346 -2.636 5.289
1.346 2.636 -5.289
ATOMIC_POSITIONS angstrom
K 0.000 0.000 0.000
Os 1.346 0.000 3.091
Os 0.000 0.000 5.208
Pt 0.000 2.636 2.269
! E_form ... 99 kJ/mol of atoms
! E above lowest polymorph ... 507 meV per atom



Entry 6:
! KOs3Pt PBE-GGA optimized geometry; values from VASP
&SYSTEM
  ibrav = 0, nat = 5, ntyp = 3
/
ATOMIC_SPECIES
K 39.10 K.upf
Os 190.23 Os.upf
Pt 195.08 Pt.upf
CELL_PARAMETERS angstrom
4.496 0.000 0.000
0.000 4.496 0.000
0.000 0.000 4.496
ATOMIC_POSITIONS angstrom
K 0.000 0.000 0.000
Os 0.000 0.000 2.248
Os 0.000 2.248 0.000
Os 2.248 0.000 0.000
Pt 2.248 2.248 2.248
! E_form ... 371 kJ/mol of atoms
! E above lowest polymorph ... 1463 meV per atom



Entry 7:
! K2OsPt PBE-GGA optimized geometry; values from VASP
&SYSTEM
  ibrav = 0, nat = 4, ntyp = 3
/
ATOMIC_SPECIES
K 39.10 K.upf
Os 190.23 Os.upf
Pt 195.08 Pt.upf
CELL_PARAMETERS angstrom
5.715 -1.397 0.000
5.715 1.397 0.000
-0.805 0.000 4.967
ATOMIC_POSITIONS angstrom
K 2.539 0.000 1.213
K 8.087 0.000 3.754
Os -0.402 0.000 2.483
Pt 5.715 0.000 0.000
! E_form ... 82 kJ/mol of atoms
! E above lowest polymorph ... 377 meV per atom



Entry 8:
! KOs2Pt PBE-GGA optimized geometry; values from VASP
&SYSTEM
  ibrav = 0, nat = 4, ntyp = 3
/
ATOMIC_SPECIES
K 39.10 K.upf
Os 190.23 Os.upf
Pt 195.08 Pt.upf
CELL_PARAMETERS angstrom
2.758 0.000 0.000
0.000 3.614 0.000
0.000 0.000 8.112
ATOMIC_POSITIONS angstrom
K 0.000 0.000 0.000
Os 0.000 0.000 3.981
Os 1.379 1.807 2.795
Pt 1.379 1.807 5.612
! E_form ... 55 kJ/mol of atoms
! E above lowest polymorph ... 49 meV per atom



Entry 9:
! KOs2Pt PBE-GGA optimized geometry; values from VASP
&SYSTEM
  ibrav = 0, nat = 4, ntyp = 3
/
ATOMIC_SPECIES
K 39.10 K.upf
Os 190.23 Os.upf
Pt 195.08 Pt.upf
CELL_PARAMETERS angstrom
1.417 -2.364 0.000
1.417 2.364 0.000
0.000 0.000 10.351
ATOMIC_POSITIONS angstrom
K 0.000 0.000 0.000
Os 0.000 0.000 5.149
Os 1.417 0.000 2.978
Pt 1.417 0.000 7.579
! E_form ... 75 kJ/mol of atoms
! E above lowest polymorph ... 251 meV per atom



Entry 10:
! KOs4Pt PBE-GGA optimized geometry; values from VASP
&SYSTEM
  ibrav = 0, nat = 6, ntyp = 3
/
ATOMIC_SPECIES
K 39.10 K.upf
Os 190.23 Os.upf
Pt 195.08 Pt.upf
CELL_PARAMETERS angstrom
0.000 3.724 3.724
3.724 0.000 3.724
3.724 3.724 0.000
ATOMIC_POSITIONS angstrom
K 0.000 0.000 0.000
Os 4.647 2.801 2.801
Os 2.801 4.647 2.801
Os 2.801 2.801 4.647
Os 4.647 4.647 4.647
Pt 1.862 1.862 1.862
! E_form ... 110 kJ/mol of atoms



Entry 11:
! KOs2Pt PBE-GGA optimized geometry; values from VASP
&SYSTEM
  ibrav = 0, nat = 4, ntyp = 3
/
ATOMIC_SPECIES
K 39.10 K.upf
Os 190.23 Os.upf
Pt 195.08 Pt.upf
CELL_PARAMETERS angstrom
2.686 0.000 0.000
0.000 4.895 0.000
0.000 0.000 5.268
ATOMIC_POSITIONS angstrom
K 0.000 0.000 0.000
Os 0.000 2.447 2.634
Os 1.343 0.000 2.634
Pt 1.343 2.447 0.000
! E_form ... 112 kJ/mol of atoms
! E above lowest polymorph ... 640 meV per atom



Entry 12:
! K2OsPt PBE-GGA optimized geometry; values from VASP
&SYSTEM
  ibrav = 0, nat = 4, ntyp = 3
/
ATOMIC_SPECIES
K 39.10 K.upf
Os 190.23 Os.upf
Pt 195.08 Pt.upf
CELL_PARAMETERS angstrom
3.508 0.000 0.000
0.000 3.508 0.000
0.000 0.000 10.041
ATOMIC_POSITIONS angstrom
K 0.000 0.000 0.000
K 1.754 1.754 4.328
Os 0.000 0.000 6.884
Pt 1.754 1.754 7.558
! E_form ... 57 kJ/mol of atoms
! E above lowest polymorph ... 120 meV per atom



Question: Number 11 is which compound?
Answer: KOs2Pt